Material: FeSnI2F
Method: DFT, GGA+U
State: optimized geometry

Structure (POSCAR):
```
FeSnI2F
1.0
5.356 0.000 0.000
0.000 5.356 0.000
0.000 0.000 5.406
Fe Sn I F
1 1 2 1
direct
0.000 0.000 0.000
0.000 0.000 0.500
0.000 0.500 0.000
0.500 0.000 0.000
0.500 0.500 0.500
```

Output
Energy in eV per atom: -2.863